# Cs3CaNb

A relaxed structure of Cs3CaNb (PBE, Alexandria).

## Properties
Its energy of formation is 1282 meV/atom. The total DFT energy (no corrections) is -1.644 eV per atom. Its density of states at the Fermi level is 1.0997 states/eV/atom. The value obtained for the mass density is 3.053 g/cm³.

CIF file:
```
data_Cs3CaNb
_chemical_formula_sum 'Cs3 Ca1 Nb1'
_cell_length_a 6.613
_cell_length_b 6.613
_cell_length_c 6.613
_cell_angle_alpha 90.00
_cell_angle_beta 90.00
_cell_angle_gamma 90.00
_symmetry_space_group_name_H-M 'P m -3 m'
_symmetry_Int_Tables_number 221
_symmetry_space_group_name_Hall '-P 4 2 3'
loop_
_atom_site_label
_atom_site_fract_x
_atom_site_fract_y
_atom_site_fract_z
_atom_site_occupancy
Cs1 0.000 0.000 0.500 1
Ca1 0.500 0.500 0.500 1
Nb1 0.000 0.000 0.000 1
```

# CsCaNb3

A relaxed structure of CsCaNb3 (PBE, Alexandria).

## Properties
Its energy of formation is 2236 meV/atom. The total DFT energy (no corrections) is -4.377 eV per atom. Its density of states at the Fermi level is 0.4870 states/eV/atom. The value obtained for the mass density is 5.578 g/cm³.

CIF file:
```
data_CsCaNb3
_chemical_formula_sum 'Cs1 Ca1 Nb3'
_cell_length_a 5.123
_cell_length_b 5.123
_cell_length_c 5.123
_cell_angle_alpha 90.00
_cell_angle_beta 90.00
_cell_angle_gamma 90.00
_symmetry_space_group_name_H-M 'P m -3 m'
_symmetry_Int_Tables_number 221
_symmetry_space_group_name_Hall '-P 4 2 3'
loop_
_atom_site_label
_atom_site_fract_x
_atom_site_fract_y
_atom_site_fract_z
_atom_site_occupancy
Cs1 0.000 0.000 0.000 1
Ca1 0.500 0.500 0.500 1
Nb1 0.000 0.000 0.500 1
```

# CsCa3Nb

A relaxed structure of CsCa3Nb (PBE, Alexandria).

## Properties
Its energy of formation is 764 meV/atom. The total DFT energy (no corrections) is -2.622 eV per atom. Its density of states at the Fermi level is 0.0346 states/eV/atom. The value obtained for the mass density is 2.733 g/cm³.

CIF file:
```
data_CsCa3Nb
_chemical_formula_sum 'Cs1 Ca3 Nb1'
_cell_length_a 5.946
_cell_length_b 5.946
_cell_length_c 5.946
_cell_angle_alpha 90.00
_cell_angle_beta 90.00
_cell_angle_gamma 90.00
_symmetry_space_group_name_H-M 'P m -3 m'
_symmetry_Int_Tables_number 221
_symmetry_space_group_name_Hall '-P 4 2 3'
loop_
_atom_site_label
_atom_site_fract_x
_atom_site_fract_y
_atom_site_fract_z
_atom_site_occupancy
Cs1 0.000 0.000 0.000 1
Ca1 0.000 0.500 0.500 1
Nb1 0.500 0.500 0.500 1
```

# Cs2CaNb

A relaxed structure of Cs2CaNb (PBE, Alexandria).

## Properties
Its energy of formation is 1300 meV/atom. The total DFT energy (no corrections) is -2.145 eV per atom. Its density of states at the Fermi level is 0.2377 states/eV/atom. The value obtained for the mass density is 3.166 g/cm³.

CIF file:
```
data_Cs2CaNb
_chemical_formula_sum 'Cs8 Ca4 Nb4'
_cell_length_a 9.423
_cell_length_b 9.423
_cell_length_c 9.423
_cell_angle_alpha 90.00
_cell_angle_beta 90.00
_cell_angle_gamma 90.00
_symmetry_space_group_name_H-M 'F m -3 m'
_symmetry_Int_Tables_number 225
_symmetry_space_group_name_Hall '-F 4 2 3'
loop_
_atom_site_label
_atom_site_fract_x
_atom_site_fract_y
_atom_site_fract_z
_atom_site_occupancy
Cs1 0.250 0.250 0.250 1
Ca1 0.000 0.000 0.000 1
Nb1 0.000 0.000 0.500 1
```